Density functional theory data (GGA+U) for a relaxed Sr4VSn3O12 crystal.

Properties
total moment = 1.0 Bohr magnetons per cell
crystal system = cubic
DFT total energy = -129.9 eV per cell

```
20
Lattice="7.041 0.000 0.000 -2.347 6.638 0.000 -2.347 -3.319 5.749" Properties=species:S:1:pos:R:3 pbc="T T T"
Sr 1.173 1.660 2.874
Sr -1.173 -1.660 2.874
Sr 3.520 0.000 0.000
Sr -1.173 3.319 0.000
V 0.000 0.000 0.000
Sn 2.347 -1.660 2.874
Sn 2.347 3.319 0.000
Sn -2.347 1.660 2.874
O -1.173 0.830 4.312
O 3.551 -2.511 4.350
O 1.142 -0.808 1.399
O 3.520 2.489 1.437
O 3.551 5.023 0.000
O 1.142 1.616 0.000
O 3.520 0.000 2.874
O -1.173 3.319 2.874
O 1.173 -0.830 4.312
O -3.551 2.511 4.350
O 1.173 4.149 1.437
O -1.142 0.808 1.399
```